(1)
Entry from the Alexandria database: a geometry-optimized LuBi3 structure (PBE).

Lattice parameters (Å, degrees): 6.877 6.877 5.854 90.00 90.00 120.00
Sites, in units of the cell vectors:
Lu 0.333 0.667 0.250
Lu 0.667 0.333 0.750
Bi 0.174 0.349 0.750
Bi 0.174 0.826 0.750
Bi 0.349 0.174 0.250
Bi 0.651 0.826 0.750
Bi 0.826 0.174 0.250
Bi 0.826 0.651 0.250

Summary:
crystal system: hexagonal
offset from the most stable computed form: 60 meV/atom
energy relative to the elements: -228 meV per atom
space-group type: P6_3/mmc (194)

---

(2)
Entry from the Alexandria database: a geometry-optimized Lu3Bi structure (PBE).

Lattice parameters (Å, degrees): 6.412 6.412 6.412 147.11 64.17 126.59
Sites, in units of the cell vectors:
Lu 0.000 0.000 0.000
Lu 0.133 0.368 0.765
Lu 0.604 0.368 0.235
Bi 0.522 0.022 0.500

Summary:
crystal system: orthorhombic
energy relative to the elements: -263 meV per atom
space-group type: Imm2 (44)

---

(3)
Entry from the Alexandria database: a geometry-optimized LuBi3 structure (PBE).

Lattice parameters (Å, degrees): 4.932 4.932 4.932 90.00 90.00 90.00
Sites, in units of the cell vectors:
Lu 0.000 0.000 0.000
Bi 0.000 0.500 0.500
Bi 0.500 0.000 0.500
Bi 0.500 0.500 0.000

Summary:
crystal system: cubic
offset from the most stable computed form: 73 meV/atom
energy relative to the elements: -215 meV per atom
space-group type: Pm-3m (221)

---

(4)
Entry from the Alexandria database: a geometry-optimized LuMgBi structure (PBE).

Lattice parameters (Å, degrees): 5.773 5.773 5.773 138.95 138.95 59.46
Sites, in units of the cell vectors:
Lu 0.000 0.000 0.000
Mg 0.324 0.324 0.000
Bi 0.661 0.661 0.000

Summary:
crystal system: tetragonal
offset from the most stable computed form: 16 meV/atom
energy relative to the elements: -179 meV per atom
space-group type: I4mm (107)

---

(5)
Entry from the Alexandria database: a geometry-optimized LuMg2Bi structure (PBE).

Lattice parameters (Å, degrees): 4.541 4.541 4.916 90.00 90.00 90.00
Sites, in units of the cell vectors:
Lu 0.000 0.000 0.000
Mg 0.000 0.500 0.500
Mg 0.500 0.000 0.500
Bi 0.500 0.500 0.000

Summary:
crystal system: tetragonal
offset from the most stable computed form: 0 meV/atom
energy relative to the elements: -267 meV per atom
space-group type: P4/mmm (123)

---

(6)
Entry from the Alexandria database: a geometry-optimized LuMgBi structure (PBE).

Lattice parameters (Å, degrees): 5.044 5.044 3.649 90.00 90.00 120.00
Sites, in units of the cell vectors:
Lu 0.000 0.000 0.000
Mg 0.333 0.667 0.500
Bi 0.667 0.333 0.499

Summary:
crystal system: trigonal
offset from the most stable computed form: 0 meV/atom
energy relative to the elements: -195 meV per atom
space-group type: P3m1 (156)

---

(7)
Entry from the Alexandria database: a geometry-optimized LuMg2Bi structure (PBE).

Lattice parameters (Å, degrees): 5.327 5.327 5.327 60.00 60.00 60.00
Sites, in units of the cell vectors:
Lu 0.000 0.000 0.000
Mg 0.250 0.250 0.250
Mg 0.750 0.750 0.750
Bi 0.500 0.500 0.500

Summary:
crystal system: cubic
offset from the most stable computed form: 245 meV/atom
energy relative to the elements: -23 meV per atom
space-group type: Fm-3m (225)

---

(8)
Entry from the Alexandria database: a geometry-optimized NdLuMgBi structure (PBE).

Lattice parameters (Å, degrees): 5.462 5.462 5.462 60.00 60.00 60.00
Sites, in units of the cell vectors:
Nd 0.000 0.000 0.000
Lu 0.500 0.500 0.500
Mg 0.250 0.250 0.250
Bi 0.750 0.750 0.750

Summary:
crystal system: cubic
energy relative to the elements: -283 meV per atom
space-group type: F-43m (216)

---

(9)
Entry from the Alexandria database: a geometry-optimized LuPuMgBi structure (PBE).

Lattice parameters (Å, degrees): 5.376 5.376 5.376 60.00 60.00 60.00
Sites, in units of the cell vectors:
Lu 0.000 0.000 0.000
Pu 0.500 0.500 0.500
Mg 0.250 0.250 0.250
Bi 0.750 0.750 0.750

Summary:
crystal system: cubic
energy relative to the elements: -115 meV per atom
space-group type: F-43m (216)

---

(10)
Entry from the Alexandria database: a geometry-optimized LuMgSnBi structure (PBE).

Lattice parameters (Å, degrees): 5.315 5.315 5.315 60.00 60.00 60.00
Sites, in units of the cell vectors:
Lu 0.000 0.000 0.000
Mg 0.500 0.500 0.500
Sn 0.750 0.750 0.750
Bi 0.250 0.250 0.250

Summary:
crystal system: cubic
energy relative to the elements: -232 meV per atom
space-group type: F-43m (216)

---

(11)
Entry from the Alexandria database: a geometry-optimized NaLuBi2 structure (PBE).

Lattice parameters (Å, degrees): 3.620 3.620 8.971 90.00 90.00 90.00
Sites, in units of the cell vectors:
Na 0.000 0.000 0.000
Lu 0.000 0.000 0.500
Bi 0.500 0.500 0.264
Bi 0.500 0.500 0.736

Summary:
crystal system: tetragonal
offset from the most stable computed form: 0 meV/atom
energy relative to the elements: -437 meV per atom
space-group type: P4/mmm (123)

---

(12)
Entry from the Alexandria database: a geometry-optimized NaLuBi structure (PBE).

Lattice parameters (Å, degrees): 7.930 7.930 7.930 154.56 154.56 36.29
Sites, in units of the cell vectors:
Na 0.000 0.000 0.000
Lu 0.313 0.313 0.000
Bi 0.668 0.668 0.000

Summary:
crystal system: tetragonal
energy relative to the elements: -171 meV per atom
space-group type: I4mm (107)